# LiMgMn PBE relaxed
# **Energy above the lowest structure with this stoichiometry**: 37.43 kJ/mol of atoms
# **Crystal system**: cubic
# **V**: 246.7 Å³ per cell
# **Formation energy from the elements**: 652 meV per atom
# **N(E_F)**: 12.35 states/eV per cell
data_LiMgMn
_chemical_formula_sum 'Li4 Mg4 Mn4'
_cell_length_a 6.272
_cell_length_b 6.272
_cell_length_c 6.272
_cell_angle_alpha 90.00
_cell_angle_beta 90.00
_cell_angle_gamma 90.00
_symmetry_space_group_name_H-M 'F -4 3 m'
_symmetry_Int_Tables_number 216
_symmetry_space_group_name_Hall 'F -4 2 3'
loop_
_atom_site_label
_atom_site_fract_x
_atom_site_fract_y
_atom_site_fract_z
Li1 0.000 0.000 0.000
Mg1 0.250 0.250 0.250
Mn1 0.250 0.250 0.750

***

# MnNiPt3 PBE relaxed
# **Energy above the lowest structure with this stoichiometry**: 107.00 kJ/mol of atoms
# **Crystal system**: cubic
# **V**: 94.2 Å³ per cell
# **Formation energy from the elements**: 857 meV per atom
# **N(E_F)**: 11.36 states/eV per cell
data_MnNiPt3
_chemical_formula_sum 'Mn1 Ni1 Pt3'
_cell_length_a 4.550
_cell_length_b 4.550
_cell_length_c 4.550
_cell_angle_alpha 90.00
_cell_angle_beta 90.00
_cell_angle_gamma 90.00
_symmetry_space_group_name_H-M 'P m -3 m'
_symmetry_Int_Tables_number 221
_symmetry_space_group_name_Hall '-P 4 2 3'
loop_
_atom_site_label
_atom_site_fract_x
_atom_site_fract_y
_atom_site_fract_z
Mn1 0.000 0.000 0.000
Ni1 0.500 0.500 0.500
Pt1 0.000 0.500 0.500